Computed, not measured: Sm4Te5C2 after structural relaxation at the PBE-GGA level of DFT.

POSCAR file:
```
Sm4Te5C2
1.0
9.9206 -2.1498 0.0000
9.9206 2.1498 0.0000
-2.2759 0.0000 8.2080
Sm Te C
4 5 2
Cartesian
-0.5096 0.0000 2.1916
5.6286 0.0000 3.3612
11.9368 0.0000 4.8468
18.0750 0.0000 6.0164
1.1451 0.0000 6.8444
2.5597 0.0000 2.6165
9.9206 0.0000 0.0000
15.0056 0.0000 5.5915
16.4203 0.0000 1.3636
8.1418 0.0000 4.1063
9.4236 0.0000 4.1018
```

## Properties
Theoretical density   5992 kg/m³
SG   C2/m, No. 12
Final energy   -62.99 eV/cell
N(E_F)   2.1 states/eV/f.u.
Size of the total moment   0.0 μB/f.u.

Computed, not measured: TlTc2Ru after structural relaxation at the PBE-GGA level of DFT.

POSCAR file:
```
TlTc2Ru
1.0
6.3909 0.0000 0.0000
0.0000 6.3909 0.0000
0.0000 0.0000 6.3909
Tl Tc Ru
4 8 4
Cartesian
0.0000 0.0000 0.0000
0.0000 3.1955 3.1955
3.1955 0.0000 3.1955
3.1955 3.1955 0.0000
0.0000 0.0000 3.1955
0.0000 3.1955 0.0000
1.5977 1.5977 1.5977
1.5977 4.7932 4.7932
3.1955 0.0000 0.0000
3.1955 3.1955 3.1955
4.7932 1.5977 4.7932
4.7932 4.7932 1.5977
1.5977 1.5977 4.7932
1.5977 4.7932 1.5977
4.7932 1.5977 1.5977
4.7932 4.7932 4.7932
```

## Properties
Theoretical density   12760 kg/m³
SG   F-43m, No. 216
Final energy   -119.38 eV/cell
N(E_F)   4.6 states/eV/f.u.
Size of the total moment   1.3 μB/f.u.
ΔE_f   0.63 eV per atom
Energy relative to the lowest polymorph listed for this composition   233 meV per atom

Computed, not measured: Be2AgBr after structural relaxation at the PBE-GGA level of DFT.

POSCAR file:
```
Be2AgBr
1.0
3.0903 0.0000 0.0000
0.0000 5.8914 0.0000
0.0000 0.0000 7.5580
Be Ag Br
4 2 2
Cartesian
0.0000 0.0000 1.8577
0.0000 0.0000 5.7003
1.5451 2.9457 1.8577
1.5451 2.9457 5.7003
0.0000 2.9457 0.0000
1.5451 0.0000 0.0000
0.0000 2.9457 3.7790
1.5451 0.0000 3.7790
```

## Properties
Theoretical density   4967 kg/m³
SG   Cmmm, No. 65
Final energy   -19.29 eV/cell
N(E_F)   1.3 states/eV/f.u.
Size of the total moment   0.0 μB/f.u.
Energy relative to the lowest polymorph listed for this composition   404 meV per atom

Computed, not measured: SbPtSe2 after structural relaxation at the PBE-GGA level of DFT.

POSCAR file:
```
SbPtSe2
1.0
4.1915 0.0000 0.0000
0.0000 4.2003 0.0000
0.0000 0.0000 10.6630
Sb Pt Se
2 2 4
Cartesian
0.0000 0.0000 0.0000
2.0958 2.1001 0.0000
0.0000 2.1001 1.9652
2.0958 0.0000 1.9652
0.0000 0.0000 3.8811
0.0000 2.1001 7.5263
2.0958 0.0000 7.5263
2.0958 2.1001 3.8811
```

## Properties
Theoretical density   8399 kg/m³
SG   Cmm2, No. 35
Final energy   -32.81 eV/cell
N(E_F)   2.3 states/eV/f.u.
Size of the total moment   0.0 μB/f.u.

Computed, not measured: HoErTm4S8 after structural relaxation at the PBE-GGA level of DFT.

POSCAR file:
```
HoErTm4S8
1.0
3.9736 2.2942 6.4952
-3.9736 2.2942 6.4952
0.0000 -4.5883 6.4952
Ho Er Tm S
1 1 4 8
Cartesian
0.0000 0.0000 0.0000
0.0000 0.0000 12.1816
-1.9840 -1.1454 8.9369
0.0000 0.0000 4.8780
1.9840 -1.1454 8.9369
0.0000 2.2909 8.9369
0.0000 -2.1645 10.5032
-1.8745 1.0822 10.5032
0.0000 0.0000 7.4587
-1.8603 -1.0741 13.8709
1.8745 1.0822 10.5032
0.0000 0.0000 16.8869
1.8603 -1.0741 13.8709
0.0000 2.1481 13.8709
```

## Properties
Theoretical density   5910 kg/m³
SG   R3m, No. 160
Final energy   -86.92 eV/cell
N(E_F)   8.2 states/eV/f.u.
Size of the total moment   0.0 μB/f.u.

Computed, not measured: TiBiPRu2 after structural relaxation at the PBE-GGA level of DFT.

POSCAR file:
```
TiBiPRu2
1.0
4.5439 0.0000 0.0000
0.0000 4.5439 0.0000
0.0000 0.0000 5.3089
Ti Bi P Ru
1 1 1 2
Cartesian
0.0000 0.0000 0.0000
0.0000 0.0000 2.6544
2.2719 2.2719 2.6544
0.0000 2.2719 0.0000
2.2719 0.0000 0.0000
```

## Properties
Theoretical density   7423 kg/m³
SG   P4/mmm, No. 123
Final energy   -29.60 eV/cell
N(E_F)   4.5 states/eV/f.u.
Size of the total moment   1.6 μB/f.u.
ΔE_f   1.23 eV per atom

Computed, not measured: TbThBeZn after structural relaxation at the PBE-GGA level of DFT.

POSCAR file:
```
TbThBeZn
1.0
7.1098 0.0000 0.0000
0.0000 7.1098 0.0000
0.0000 0.0000 7.1098
Tb Th Be Zn
4 4 4 4
Cartesian
0.0000 0.0000 0.0000
0.0000 3.5549 3.5549
3.5549 0.0000 3.5549
3.5549 3.5549 0.0000
0.0000 0.0000 3.5549
0.0000 3.5549 0.0000
3.5549 0.0000 0.0000
3.5549 3.5549 3.5549
1.7775 1.7775 1.7775
1.7775 5.3324 5.3324
5.3324 1.7775 5.3324
5.3324 5.3324 1.7775
1.7775 1.7775 5.3324
1.7775 5.3324 1.7775
5.3324 1.7775 1.7775
5.3324 5.3324 5.3324
```

## Properties
Theoretical density   8601 kg/m³
SG   F-43m, No. 216
Final energy   -68.43 eV/cell
N(E_F)   5.0 states/eV/f.u.
Size of the total moment   0.0 μB/f.u.
ΔE_f   -0.01 eV per atom

Computed, not measured: LaBe3H after structural relaxation at the PBE-GGA level of DFT.

POSCAR file:
```
LaBe3H
1.0
4.1089 0.0000 0.0000
0.0000 4.1089 0.0000
0.0000 0.0000 4.1089
La Be H
1 3 1
Cartesian
0.0000 0.0000 0.0000
0.0000 2.0545 2.0545
2.0545 0.0000 2.0545
2.0545 2.0545 0.0000
2.0545 2.0545 2.0545
```

## Properties
Theoretical density   3996 kg/m³
SG   Pm-3m, No. 221
Final energy   -15.71 eV/cell
N(E_F)   0.9 states/eV/f.u.
Size of the total moment   0.0 μB/f.u.
Energy relative to the lowest polymorph listed for this composition   0 meV per atom